DFT (PBE) results for an optimized crystal structure of Ti5CoIr.

Computed properties:
**Volume**: 222 Å³ per cell
**Magnetization**: 0.00 μB per formula unit
**ΔH_f (0 K)**: -0.209 eV/atom
**Raw total energy**: -8.129 eV/atom
**DOS(E_F)**: 9.01 states/eV/f.u.

```
14
Lattice="4.648 -0.535 -0.153 0.967 4.578 -0.153 1.881 1.354 10.066" Properties=species:S:1:pos:R:3 pbc="T T T"
Ti 5.148 2.290 0.995
Ti 2.561 2.917 5.703
Ti 4.746 4.833 6.028
Ti 5.004 -0.037 2.364
Ti 4.858 4.571 9.090
Ti 2.638 0.826 0.670
Ti 2.493 5.434 7.397
Ti 2.751 0.564 3.733
Ti 4.936 2.480 4.057
Ti 2.348 3.107 8.766
Co 0.000 0.000 0.000
Co 0.940 0.677 5.033
Ir 3.013 2.729 2.364
Ir 4.484 2.668 7.397
```